# UTi3

An optimized crystal structure of UTi3 (PBE, Alexandria).

Output
calculated total energy: -8.548 eV per atom
excess energy over the best structure of this formula in the dataset: 0.093 eV/atom
energy of formation from the pure elements: 0.20 eV/atom
DOS(E_F): 8.36 states/eV per cell

Lattice parameters (Å, degrees): 4.038 4.038 5.268 112.54 112.54 90.00
Element x y z (fractional)
Ti 0.500 0.500 0.000
Ti 0.750 0.250 0.500
Ti 0.250 0.750 0.500
U 0.000 0.000 0.000